Entry 1:
# Al3GeO7

Crystalline Al3GeO7 at its relaxed geometry (GGA-PBE, the Alexandria database).

POSCAR file:
```
Al3GeO7
1.0
-2.8386 -3.5026 -2.3808
3.9823 0.4756 -3.1479
1.9930 -2.6734 3.8568
O Al Ge
7 3 1
direct
0.6519 0.2626 0.2626 O
0.0570 0.6901 0.6901 O
0.2626 0.2626 0.6519 O
0.1369 0.1369 0.1369 O
0.6901 0.0570 0.6901 O
0.6901 0.6901 0.0570 O
0.2626 0.6519 0.2626 O
0.0349 0.4073 0.4073 Al
0.4073 0.4073 0.0349 Al
0.4073 0.0349 0.4073 Al
0.8679 0.8679 0.8679 Ge
```

## Properties
Space-group type: R3m (160)
Raw formation energy (meV/atom): -2337

---

Entry 2:
# PaH2Rh4

Crystalline PaH2Rh4 at its relaxed geometry (GGA-PBE, the Alexandria database).

POSCAR file:
```
PaH2Rh4
1.0
-1.6587 3.6255 3.2324
-4.1931 -0.3099 -2.9438
0.1354 -6.9774 4.3904
Pa Rh H
2 8 4
direct
0.0000 0.0000 0.0000 Pa
0.2500 0.7500 0.5000 Pa
0.7470 0.0733 0.6710 Rh
0.3259 0.1523 0.8290 Rh
0.3233 0.4970 0.1710 Rh
0.9265 0.2531 0.3290 Rh
0.4023 0.0760 0.3290 Rh
0.9241 0.5976 0.6710 Rh
0.8476 0.6742 0.1711 Rh
0.5031 0.6765 0.8289 Rh
0.6250 0.3749 0.7499 H
0.6250 0.8751 0.2501 H
0.1251 0.3751 0.7502 H
0.6250 0.3749 0.2498 H
```

## Properties
Space-group type: Fddd (70)
E (eV per atom): -6.7318

---

Entry 3:
# Tb2Pr5Ho

Crystalline Tb2Pr5Ho at its relaxed geometry (GGA-PBE, the Alexandria database).

POSCAR file:
```
Tb2Pr5Ho
1.0
7.7948 -0.5333 6.0073
-1.2257 7.7163 6.0073
2.0663 2.2594 13.1441
Tb Pr Ho
4 10 2
direct
0.5000 0.0000 0.0000 Tb
0.5000 0.5000 0.0000 Tb
0.0000 0.5000 0.5000 Tb
0.5000 0.5000 0.5000 Tb
0.9837 0.4572 0.2674 Pr
0.4572 0.9837 0.7674 Pr
0.9988 0.0163 0.8684 Pr
0.0163 0.9988 0.3684 Pr
0.5083 0.4917 0.7500 Pr
0.4917 0.5083 0.2500 Pr
0.9837 0.0012 0.6316 Pr
0.0012 0.9837 0.1316 Pr
0.5428 0.0163 0.2326 Pr
0.0163 0.5428 0.7326 Pr
0.2405 0.7595 0.7500 Ho
0.7595 0.2405 0.2500 Ho
```

## Properties
Space-group type: C2/c (15)
Energy relative to the elements (eV per atom): 0.21

---

Entry 4:
# RbCd3In3

Crystalline RbCd3In3 at its relaxed geometry (GGA-PBE, the Alexandria database).

POSCAR file:
```
RbCd3In3
1.0
-0.8802 -4.2656 1.3306
-2.0264 -2.1356 -8.1866
11.3971 -1.3293 3.2774
In Cd Rb
6 6 2
direct
0.7500 0.2617 0.2346 In
0.7500 0.8522 0.9976 In
0.2500 0.9952 0.2167 In
0.7500 0.0048 0.7833 In
0.2500 0.1478 0.0024 In
0.2500 0.7383 0.7654 In
0.2500 0.6037 0.9840 Cd
0.7500 0.3963 0.0160 Cd
0.2500 0.3618 0.4604 Cd
0.2500 0.9843 0.5905 Cd
0.7500 0.6382 0.5396 Cd
0.7500 0.0157 0.4095 Cd
0.7500 0.3772 0.7129 Rb
0.2500 0.6228 0.2871 Rb
```

## Properties
Space-group type: P2_1/m (11)
Energy relative to the elements (eV per atom): 0.02

---

Entry 5:
# CoSb3

Crystalline CoSb3 at its relaxed geometry (GGA-PBE, the Alexandria database).

POSCAR file:
```
CoSb3
1.0
-2.5055 4.1606 1.3471
-4.3003 -2.0615 -1.6312
-0.5686 -1.4009 3.2693
Sb Co
3 1
direct
0.5000 0.5000 0.0000 Sb
0.5000 0.0000 0.5000 Sb
0.0000 0.5000 0.5000 Sb
0.0000 0.0000 0.0000 Co
```

## Properties
Space-group type: P4/mmm (123)
Raw formation energy (meV/atom): 582

---

Entry 6:
# Na4Np3BiS8

Crystalline Na4Np3BiS8 at its relaxed geometry (GGA-PBE, the Alexandria database).

POSCAR file:
```
Na4Np3BiS8
1.0
-4.3444 5.1561 4.4755
4.3664 -2.0301 6.5774
3.7629 2.6109 -6.6716
S Na Bi Np
8 4 1 3
direct
0.2474 0.7315 0.4949 S
0.2475 0.7315 0.9841 S
0.2588 0.2764 0.5176 S
0.7526 0.2685 0.5051 S
0.7525 0.2685 0.0159 S
0.7412 0.7236 0.4824 S
0.7366 0.7315 0.9841 S
0.2634 0.2685 0.0159 S
0.5000 0.0000 0.0000 Na
0.5000 0.0000 0.5000 Na
0.0000 0.0000 0.5000 Na
0.0000 0.0000 0.0000 Na
0.0000 0.5000 0.0000 Bi
0.5000 0.5000 0.5000 Np
0.0000 0.5000 0.5000 Np
0.5000 0.5000 0.0000 Np
```

## Properties
Space-group type: R-3m (166)
Raw formation energy (meV/atom): -1193

---

Entry 7:
# MnCr2Ru

Crystalline MnCr2Ru at its relaxed geometry (GGA-PBE, the Alexandria database).

POSCAR file:
```
MnCr2Ru
1.0
3.9482 0.0000 0.0000
0.0000 2.5803 0.1022
0.0000 0.9944 4.8924
Ru Cr Mn
1 2 1
direct
0.5000 0.7500 0.7500 Ru
0.0000 0.0197 0.0129 Cr
0.0000 0.4803 0.4871 Cr
0.5000 0.2500 0.2500 Mn
```

## Properties
Space-group type: P2/m (10)
Energy relative to the elements (eV per atom): 0.17

---

Entry 8:
# Tb4Tm3Cd

Crystalline Tb4Tm3Cd at its relaxed geometry (GGA-PBE, the Alexandria database).

POSCAR file:
```
Tb4Tm3Cd
1.0
-1.9196 2.9746 -0.1795
-1.9100 -1.0642 2.7902
12.2951 8.6413 11.7123
Tb Tm Cd
4 3 1
direct
0.0000 0.0000 0.1108 Tb
0.0000 0.0000 0.3701 Tb
0.0000 0.0000 0.8892 Tb
0.0000 0.0000 0.6299 Tb
0.5000 0.5000 0.2404 Tm
0.5000 0.5000 0.7596 Tm
0.5000 0.5000 0.5000 Tm
0.5000 0.5000 0.0000 Cd
```

## Properties
Space-group type: P4/mmm (123)
Energy relative to the elements (eV per atom): -0.06

---

Entry 9:
# LaBi3Pd3

Crystalline LaBi3Pd3 at its relaxed geometry (GGA-PBE, the Alexandria database).

POSCAR file:
```
LaBi3Pd3
1.0
7.4898 0.0000 0.0000
0.0000 7.4898 0.0000
0.0000 0.0000 7.4898
Bi La Pd
6 2 6
direct
0.5000 0.0000 0.2500 Bi
0.2500 0.5000 0.0000 Bi
0.5000 0.0000 0.7500 Bi
0.0000 0.7500 0.5000 Bi
0.7500 0.5000 0.0000 Bi
0.0000 0.2500 0.5000 Bi
0.0000 0.0000 0.0000 La
0.5000 0.5000 0.5000 La
0.0000 0.5000 0.7500 Pd
0.0000 0.5000 0.2500 Pd
0.7500 0.0000 0.5000 Pd
0.5000 0.7500 0.0000 Pd
0.5000 0.2500 0.0000 Pd
0.2500 0.0000 0.5000 Pd
```

## Properties
Space-group type: Pm-3n (223)
Energy relative to the elements (eV per atom): -0.13

---

Entry 10:
# Y4Bi2PSe

Crystalline Y4Bi2PSe at its relaxed geometry (GGA-PBE, the Alexandria database).

POSCAR file:
```
Y4Bi2PSe
1.0
-0.8905 3.9341 1.2972
-7.2534 -1.2561 -1.1699
-2.9882 -2.7021 6.1438
Se Y P Bi
1 4 1 2
direct
0.5000 0.5000 0.0000 Se
0.5000 0.2779 0.7322 Y
0.0000 0.2729 0.2523 Y
0.0000 0.7271 0.7477 Y
0.5000 0.7221 0.2678 Y
0.0000 0.5000 0.5000 P
0.5000 0.0000 0.5000 Bi
0.0000 0.0000 0.0000 Bi
```

## Properties
Space-group type: P2/m (10)
Raw formation energy (meV/atom): -1287

---

Entry 11:
# AcPu2Zn

Crystalline AcPu2Zn at its relaxed geometry (GGA-PBE, the Alexandria database).

POSCAR file:
```
AcPu2Zn
1.0
-0.1588 3.7024 -0.5123
-1.5173 -0.5325 -3.3778
-7.5883 0.1431 3.3860
Pu Zn Ac
2 1 1
direct
0.0000 0.0000 0.8093 Pu
0.0000 0.0000 0.1907 Pu
0.5000 0.5000 0.0000 Zn
0.5000 0.5000 0.5000 Ac
```

## Properties
Space-group type: P4/mmm (123)
Energy relative to the elements (eV per atom): 0.14

---

Entry 12:
# Ac2HoCdSe5

Crystalline Ac2HoCdSe5 at its relaxed geometry (GGA-PBE, the Alexandria database).

POSCAR file:
```
Ac2HoCdSe5
1.0
4.2458 0.0000 0.0000
-2.1229 9.1162 0.0000
0.0000 0.0000 12.9707
Se Cd Ac Ho
10 2 4 2
direct
0.2887 0.5774 0.6630 Se
0.4937 0.9873 0.7676 Se
0.6431 0.2861 0.5017 Se
0.5063 0.0127 0.2676 Se
0.9512 0.9024 0.5702 Se
0.7113 0.4226 0.1630 Se
0.3106 0.6212 0.3586 Se
0.6894 0.3788 0.8586 Se
0.3569 0.7139 0.0017 Se
0.0488 0.0976 0.0702 Se
0.4566 0.9132 0.4541 Cd
0.5434 0.0868 0.9541 Cd
0.1170 0.2340 0.6868 Ac
0.8830 0.7660 0.1868 Ac
0.1347 0.2693 0.3098 Ac
0.8653 0.7307 0.8098 Ac
0.2012 0.4024 0.0121 Ho
0.7988 0.5976 0.5121 Ho
```

## Properties
Space-group type: Cmc2_1 (36)
Raw formation energy (meV/atom): -1643